DFT (PBE) results for Np2U3 after structural relaxation.

POSCAR file:
```
Np2U3
1.0
3.147 1.817 6.011
-3.147 1.817 6.011
0.000 -3.634 6.011
Np U
4 6
direct
0.163 0.163 0.163
0.337 0.337 0.337
0.663 0.663 0.663
0.837 0.837 0.837
0.093 0.750 0.407
0.250 0.593 0.907
0.407 0.093 0.750
0.593 0.907 0.250
0.750 0.407 0.093
0.907 0.250 0.593
```

Calculated values
Crystal system = trigonal
Formation enthalpy at 0 K = 1.28 eV per formula unit
Space-group type = R-3c, No. 167
Spin magnetization = 0.00 μB per formula unit